TiSiIr2Os | Alexandria via LeMat-Bulk | PBEsol | relaxed; density = 11.8 Mg/m³; crystal system = tetragonal; total magnetic moment = 0.000 μB/atom; formation energy from raw total energies = 1.65 eV/atom; space-group type = P4/mmm (123); DFT total energy = -7.54 eV per atom
1.0
-1.946 -3.210 -2.481
-0.835 -2.376 3.729
-3.989 2.083 0.434
Si Ir Os Ti
1 2 1 1
Cartesian
-3.385 -1.752 0.841
-0.418 -1.188 1.864
-0.973 -1.605 -1.241
-1.994 1.042 0.217
0.000 0.000 0.000